6
Lattice="-3.311 -0.236 0.802 3.163 -1.124 5.460 -0.637 7.460 -0.437" Properties=species:S:1:pos:R:3 comment="MgSn5 | the Alexandria database | PBEsol | relaxed" magnetic_moment_mub_per_cell=0.0 vol_a3_per_atom=25.34 formation_energy_kj_per_mol_atoms=-2 pbc="T T T"
Mg 0.985 1.044 4.374
Sn -0.012 0.149 -0.005
Sn -1.337 1.989 2.334
Sn -0.231 4.298 0.311
Sn 0.597 4.185 3.696
Sn -1.600 6.339 2.528